This record from Alexandria describes a relaxed RbTlO3 crystal. The functional is PBE.

Values from the calculation:
Calculated total energy (eV/atom): -3.997
Total moment (μB/f.u.): 1.63

Cell lengths 4.353, 4.353, 4.353 Å; angles 90.00, 90.00, 90.00 degrees
Space group Pm-3m (No. 221)
Inequivalent atoms, fractional coordinates:
Rb  0.000  0.000  0.000
Tl  0.500  0.500  0.500
O  0.000  0.500  0.500